1.
Density functional theory data (PBE-GGA) for a relaxed ThUIr4 crystal.

Magnetization in μB per cell: 1.53
ΔE_f in eV per atom: -0.667

The structure in POSCAR format:
```
ThUIr4
1.0
0.000 3.812 3.812
3.812 0.000 3.812
3.812 3.812 0.000
Th U Ir
1 1 4
Cartesian
0.000 0.000 0.000
5.718 5.718 5.718
2.863 2.863 2.863
4.761 4.761 2.863
4.761 2.863 4.761
2.863 4.761 4.761
```

2.
Density functional theory data (PBE-GGA) for a relaxed NaTa2TlPb crystal.

Magnetization in μB per cell: 2.29
ΔE_f in eV per atom: 1.689

The structure in POSCAR format:
```
NaTa2TlPb
1.0
5.300 0.000 0.000
0.000 5.300 0.000
0.000 0.000 5.304
Na Ta Tl Pb
1 2 1 1
Cartesian
0.000 0.000 0.000
0.000 2.650 2.652
2.650 0.000 2.652
2.650 2.650 0.000
0.000 0.000 2.652
```

3.
Density functional theory data (PBE-GGA) for a relaxed PaSnMoOs crystal.

Magnetization in μB per cell: 0.00
ΔE_f in eV per atom: 0.007

The structure in POSCAR format:
```
PaSnMoOs
1.0
0.000 3.375 3.375
3.375 0.000 3.375
3.375 3.375 0.000
Pa Sn Mo Os
1 1 1 1
Cartesian
0.000 0.000 0.000
3.375 3.375 3.375
1.687 1.687 1.687
5.062 5.062 5.062
```

| no. | ρ (g cm⁻³) |
| --- | --- |
| 1 | 18.6 |
| 2 | 8.9 |
| 3 | 13.7 |